## i
VASP calculation (PBE) on a geometry-optimized BaSrPm structure.

Properties
M_tot: 0.000 μB per atom
D(E_F): 8.8 states/eV/cell
symmetry: C2/m, No. 12

abc: 6.3892 6.3853 8.0012
angles: 89.92 90.01 59.98
Last column: nearest neighbours and their distance in Å.
Fractional coordinates of all 6 atoms:
1 Sr 0.9622 0.3117 0.3809  2 Pm 3.84-4.16, 3 Ba 3.94, 3 Sr 3.96
2 Sr 0.6286 0.9789 0.2005  2 Pm 3.84-4.16, 3 Ba 3.94, 3 Sr 3.96
3 Ba 0.2948 0.6463 0.0273  2 Ba 3.78-4.22, 3 Pm 3.92, 3 Sr 3.94
4 Ba 0.2960 0.6443 0.5544  2 Ba 3.78-4.22, 3 Pm 3.92, 3 Sr 3.94
5 Pm 0.9614 0.3132 0.8612  3 Pm 3.84-3.86, 2 Sr 3.84-4.16, 3 Ba 3.92
6 Pm 0.6295 0.9773 0.7204  3 Pm 3.84-3.86, 2 Sr 3.84-4.16, 3 Ba 3.92

## ii
VASP calculation (PBE) on a geometry-optimized BaSrPm structure.

Properties
M_tot: 0.000 μB per atom
D(E_F): 4.8 states/eV/cell
symmetry: P3m1, No. 156

abc: 4.0399 4.0399 10.0097
angles: 90.00 90.00 120.00
Last column: nearest neighbours and their distance in Å.
Fractional coordinates of all 3 atoms:
1 Ba 0.0000 0.0000 0.0153  3 Pm 3.97, 6 Ba 4.04, 3 Sr 4.35
2 Sr 0.3333 0.6667 0.6485  3 Pm 3.90, 6 Sr 4.04, 3 Ba 4.35
3 Pm 0.6667 0.3333 0.3362  3 Sr 3.90, 3 Ba 3.97, 6 Pm 4.04

Least stable: i

## i
VASP calculation (PBE) on a geometry-optimized BaSr2Pm structure.

Properties
M_tot: 0.000 μB per atom
D(E_F): 5.7 states/eV/cell
symmetry: Fm-3m, No. 225

abc: 6.5161 6.5161 6.5161
angles: 60.00 60.00 60.00
Last column: nearest neighbours and their distance in Å.
Fractional coordinates of all 4 atoms:
1 Sr 0.7500 0.7500 0.7500  4 Ba 3.99, 4 Pm 3.99
2 Sr 0.2500 0.2500 0.2500  4 Pm 3.99, 4 Ba 3.99
3 Ba 0.5000 0.5000 0.5000  8 Sr 3.99
4 Pm 0.0000 0.0000 0.0000  8 Sr 3.99

## ii
VASP calculation (PBE) on a geometry-optimized BaSr2Pm structure.

Properties
M_tot: 0.000 μB per atom
D(E_F): 4.6 states/eV/cell
symmetry: P4/mmm, No. 123

abc: 4.3945 4.3945 10.3344
angles: 90.00 90.00 90.00
Last column: nearest neighbours and their distance in Å.
Fractional coordinates of all 4 atoms:
1 Sr 0.0000 0.0000 0.7850  4 Pm 3.82
2 Sr 0.0000 0.0000 0.2150  4 Pm 3.82
3 Ba 0.5000 0.5000 0.5000  8 Sr 4.28, 4 Ba 4.39
4 Pm 0.5000 0.5000 0.0000  8 Sr 3.82

Least stable: i

## i
VASP calculation (PBE) on a geometry-optimized BaSr2Pm structure.

Properties
M_tot: 0.000 μB per atom
D(E_F): 5.6 states/eV/cell
symmetry: P4/mmm, No. 123

abc: 4.5349 6.5508 6.5508
angles: 90.00 90.00 90.00
Last column: nearest neighbours and their distance in Å.
Fractional coordinates of all 4 atoms:
1 Pm 0.5000 0.5000 0.5000  8 Sr 3.98
2 Sr 0.0000 0.5000 0.0000  4 Ba 3.98, 4 Pm 3.98
3 Sr 0.0000 0.0000 0.5000  4 Ba 3.98, 4 Pm 3.98
4 Ba 0.5000 0.0000 0.0000  8 Sr 3.98

## ii
VASP calculation (PBE) on a geometry-optimized BaSr2Pm structure.

Properties
M_tot: 0.000 μB per atom
D(E_F): 7.2 states/eV/cell
symmetry: R3m, No. 160

abc: 4.0778 4.0778 13.7625
angles: 81.48 81.48 60.00
Last column: nearest neighbours and their distance in Å.
Fractional coordinates of all 4 atoms:
1 Ba 0.5002 0.5002 0.4995  6 Ba 4.08, 6 Sr 4.32-4.34
2 Sr 0.0773 0.0773 0.7681  3 Pm 3.93, 6 Sr 4.08, 3 Ba 4.34
3 Sr 0.2559 0.2559 0.2322  3 Pm 3.93, 6 Sr 4.08, 3 Ba 4.32
4 Pm 0.6666 0.6666 0.0002  6 Sr 3.93, 6 Pm 4.08

Least stable: i

## i
VASP calculation (PBE) on a geometry-optimized BaTbPm structure.

Properties
M_tot: 0.000 μB per atom
D(E_F): 5.1 states/eV/cell
symmetry: I4mm, No. 107

abc: 3.8034 3.8034 8.7506
angles: 102.55 102.55 90.00
Last column: nearest neighbours and their distance in Å.
Fractional coordinates of all 3 atoms:
1 Pm 0.3180 0.3180 0.6361  4 Tb 3.52, 4 Pm 3.80
2 Ba 0.0006 0.0006 0.0013  4 Ba 3.80, 4 Tb 4.04, 4 Pm 4.06
3 Tb 0.6813 0.6813 0.3626  4 Pm 3.52, 4 Tb 3.80

## ii
VASP calculation (PBE) on a geometry-optimized BaTbPm structure.

Properties
M_tot: 0.000 μB per atom
D(E_F): 5.2 states/eV/cell
symmetry: P3m1, No. 156

abc: 3.8000 3.8000 9.4636
angles: 90.00 90.00 120.00
Last column: nearest neighbours and their distance in Å.
Fractional coordinates of all 3 atoms:
1 Ba 0.0000 0.0000 0.9974  6 Ba 3.80, 3 Tb 3.98, 3 Pm 4.04
2 Pm 0.6667 0.3333 0.3558  3 Tb 3.52, 6 Pm 3.80
3 Tb 0.3333 0.6667 0.6468  3 Pm 3.52, 6 Tb 3.80

Least stable: ii